Entry from the Alexandria database: crystalline YTm2Ni at its relaxed geometry (PBE-GGA).

Unit cell a=3.7696 b=3.7696 c=9.0635 alpha=78.00 beta=78.00 gamma=60.00
Fractional positions:
Tm (0.0579, 0.0579, 0.8262)
Tm (0.2748, 0.2748, 0.1757)
Ni (0.6656, 0.6656, 0.0032)
Y (0.5017, 0.5017, 0.4948)

Results
- E (eV/atom) = -5.421
- polymorph energy (0 for the lowest one) (eV per atom) = 0.142
- formation energy from the elements (eV/f.u.) = -0.50
- SG = No. 160
- mass density (g/cm3) = 7.45